NaTaAsRh2 after structural relaxation. Source: the Alexandria database, functional GGA-PBE.

Computed properties:
E_tot (eV for the cell shown): -26.93
DFT formation energy (eV/f.u.): 5.6
Magnetic moment (μB/cell): 0.00
V (Å³/atom): 23.7
Space group: No. 123
D(E_F) (states/eV per cell): 3.95

a = 4.6824 Å, b = 5.4152 Å, c = 4.6824 Å
α = 90.00°, β = 90.00°, γ = 90.00°
Sites, in units of the cell vectors:
Na  0.0000  0.5000  0.0000
As  0.5000  0.5000  0.5000
Ta  0.0000  0.0000  0.0000
Rh  0.5000  0.0000  0.0000
Rh  0.0000  0.0000  0.5000



NaTcAsRh2 after structural relaxation. Source: the Alexandria database, functional GGA-PBE.

Computed properties:
E_tot (eV for the cell shown): -22.16
DFT formation energy (eV/f.u.): 8.9
Magnetic moment (μB/cell): 2.77
V (Å³/atom): 18.6
Space group: No. 123
D(E_F) (states/eV per cell): 6.94

a = 4.4829 Å, b = 4.6184 Å, c = 4.4829 Å
α = 90.00°, β = 90.00°, γ = 90.00°
Each line ends with the local moment (μB).
Sites, in units of the cell vectors:
Na  0.0000  0.0000  0.0000  0.00
Tc  0.5000  0.5000  0.5000  2.69
Rh  0.5000  0.0000  0.0000  0.07
Rh  0.0000  0.0000  0.5000  -0.06
As  0.0000  0.5000  0.0000  -0.11



NaThAs2Rh5 after structural relaxation. Source: the Alexandria database, functional GGA-PBE.

Computed properties:
E_tot (eV for the cell shown): -60.74
DFT formation energy (eV/f.u.): -5.9
Magnetic moment (μB/cell): 0.00
V (Å³/atom): 17.9
Space group: No. 123
D(E_F) (states/eV per cell): 4.13

a = 4.1818 Å, b = 4.1818 Å, c = 9.2321 Å
α = 90.00°, β = 90.00°, γ = 90.00°
Sites, in units of the cell vectors:
Rh  0.0000  0.5000  0.2706
Rh  0.0000  0.5000  0.7294
Rh  0.5000  0.0000  0.7294
Rh  0.5000  0.5000  0.5000
Rh  0.5000  0.0000  0.2706
As  0.5000  0.5000  0.8567
As  0.5000  0.5000  0.1433
Na  0.0000  0.0000  0.0000
Th  0.0000  0.0000  0.5000



Na2UAs3Rh4 after structural relaxation. Source: the Alexandria database, functional GGA-PBE.

Computed properties:
E_tot (eV for the cell shown): -61.78
DFT formation energy (eV/f.u.): -4.5
Magnetic moment (μB/cell): 1.93
V (Å³/atom): 19.1
Space group: No. 115
D(E_F) (states/eV per cell): 12.53

a = 4.1847 Å, b = 4.1847 Å, c = 10.9136 Å
α = 90.00°, β = 90.00°, γ = 90.00°
Each line ends with the local moment (μB).
Sites, in units of the cell vectors:
Rh  0.0000  0.0000  0.0000  0.02
Rh  0.0000  0.5000  0.3480  -0.09
Rh  0.5000  0.5000  0.0000  0.03
Rh  0.5000  0.0000  0.6520  -0.09
Na  0.5000  0.0000  0.2267  0.00
Na  0.0000  0.5000  0.7733  0.00
As  0.0000  0.0000  0.5000  -0.04
As  0.0000  0.5000  0.1254  0.00
As  0.5000  0.0000  0.8746  0.00
U  0.5000  0.5000  0.5000  1.83



NaZnAsRh after structural relaxation. Source: the Alexandria database, functional GGA-PBE.

Computed properties:
E_tot (eV for the cell shown): -31.59
DFT formation energy (eV/f.u.): -1.2
Magnetic moment (μB/cell): 0.00
V (Å³/atom): 21.1
Space group: No. 129
D(E_F) (states/eV per cell): 2.77

a = 3.9561 Å, b = 3.9561 Å, c = 10.7793 Å
α = 90.00°, β = 90.00°, γ = 90.00°
Sites, in units of the cell vectors:
Zn  0.2500  0.7500  0.5000
Zn  0.7500  0.2500  0.5000
As  0.7500  0.7500  0.8646
As  0.2500  0.2500  0.1354
Na  0.2500  0.2500  0.7442
Na  0.7500  0.7500  0.2558
Rh  0.2500  0.7500  0.0000
Rh  0.7500  0.2500  0.0000



NaAs3Ru after structural relaxation. Source: the Alexandria database, functional GGA-PBE.

Computed properties:
E_tot (eV for the cell shown): -16.59
DFT formation energy (eV/f.u.): 8.0
Relative energy among the computed polymorphs (eV per atom): 1.3334
Magnetic moment (μB/cell): 1.73
V (Å³/atom): 22.6
Space group: No. 221
D(E_F) (states/eV per cell): 6.75

a = 4.8364 Å, b = 4.8364 Å, c = 4.8364 Å
α = 90.00°, β = 90.00°, γ = 90.00°
Each line ends with the local moment (μB).
Sites, in units of the cell vectors:
Na  0.0000  0.0000  0.0000  0.01
As  0.0000  0.0000  0.5000  -0.01
As  0.5000  0.0000  0.0000  -0.06
As  0.0000  0.5000  0.0000  -0.04
Ru  0.5000  0.5000  0.5000  1.81



NaAs2Ru after structural relaxation. Source: the Alexandria database, functional GGA-PBE.

Computed properties:
E_tot (eV for the cell shown): -20.00
DFT formation energy (eV/f.u.): -0.1
Relative energy among the computed polymorphs (eV per atom): 0.1229
Magnetic moment (μB/cell): 0.00
V (Å³/atom): 16.1
Space group: No. 225
D(E_F) (states/eV per cell): 1.97

a = 4.4985 Å, b = 4.4985 Å, c = 4.4985 Å
α = 60.00°, β = 60.00°, γ = 60.00°
Sites, in units of the cell vectors:
Na  0.0000  0.0000  0.0000
As  0.7500  0.7500  0.7500
As  0.2500  0.2500  0.2500
Ru  0.5000  0.5000  0.5000



NaAs2Ru after structural relaxation. Source: the Alexandria database, functional GGA-PBE.

Computed properties:
E_tot (eV for the cell shown): -39.96
DFT formation energy (eV/f.u.): -0.1
Relative energy among the computed polymorphs (eV per atom): 0.1278
Magnetic moment (μB/cell): 0.00
V (Å³/atom): 27.3
Space group: No. 122
D(E_F) (states/eV per cell): 3.21

a = 6.4662 Å, b = 6.4662 Å, c = 6.9487 Å
α = 62.27°, β = 62.27°, γ = 90.00°
Sites, in units of the cell vectors:
Ru  0.0000  0.0000  0.0000
Ru  0.7500  0.2500  0.5000
Na  0.5000  0.5000  0.0000
Na  0.2500  0.7500  0.5000
As  0.8750  0.9614  0.7500
As  0.3750  0.2886  0.7500
As  0.7114  0.1250  0.2500
As  0.0386  0.6250  0.2500



NaAs3Ru after structural relaxation. Source: the Alexandria database, functional GGA-PBE.

Computed properties:
E_tot (eV for the cell shown): -23.26
DFT formation energy (eV/f.u.): 1.3
Relative energy among the computed polymorphs (eV per atom): 0.0000
Magnetic moment (μB/cell): 0.04
V (Å³/atom): 23.2
Space group: No. 221
D(E_F) (states/eV per cell): 3.19

a = 4.8766 Å, b = 4.8766 Å, c = 4.8766 Å
α = 90.00°, β = 90.00°, γ = 90.00°
Sites, in units of the cell vectors:
Ru  0.0000  0.0000  0.0000
As  0.0000  0.5000  0.0000
As  0.5000  0.0000  0.0000
As  0.0000  0.0000  0.5000
Na  0.5000  0.5000  0.5000



NaAs2Ru2 after structural relaxation. Source: the Alexandria database, functional GGA-PBE.

Computed properties:
E_tot (eV for the cell shown): -59.13
DFT formation energy (eV/f.u.): -0.4
Magnetic moment (μB/cell): 0.00
V (Å³/atom): 16.0
Space group: No. 127
D(E_F) (states/eV per cell): 7.63

a = 7.4071 Å, b = 7.4071 Å, c = 2.9209 Å
α = 90.00°, β = 90.00°, γ = 90.00°
Sites, in units of the cell vectors:
As  0.3498  0.8498  0.0000
As  0.6502  0.1502  0.0000
As  0.8498  0.6502  0.0000
As  0.1502  0.3498  0.0000
Ru  0.6402  0.8598  0.5000
Ru  0.3598  0.1402  0.5000
Ru  0.1402  0.6402  0.5000
Ru  0.8598  0.3598  0.5000
Na  0.0000  0.0000  0.0000
Na  0.5000  0.5000  0.0000



NaAs2Ru after structural relaxation. Source: the Alexandria database, functional GGA-PBE.

Computed properties:
E_tot (eV for the cell shown): -20.49
DFT formation energy (eV/f.u.): -0.6
Relative energy among the computed polymorphs (eV per atom): 0.0000
Magnetic moment (μB/cell): 1.04
V (Å³/atom): 19.4
Space group: No. 166
D(E_F) (states/eV per cell): 2.31

a = 3.3260 Å, b = 3.3260 Å, c = 8.3058 Å
α = 78.45°, β = 78.45°, γ = 60.00°
Each line ends with the local moment (μB).
Sites, in units of the cell vectors:
As  0.7347  0.7347  0.7959  0.02
As  0.2653  0.2653  0.2041  0.02
Ru  0.0000  0.0000  0.0000  0.86
Na  0.5000  0.5000  0.5000  0.01



Na2AsRu after structural relaxation. Source: the Alexandria database, functional GGA-PBE.

Computed properties:
E_tot (eV for the cell shown): -30.01
DFT formation energy (eV/f.u.): 1.6
Magnetic moment (μB/cell): 1.47
V (Å³/atom): 18.6
Space group: No. 122
D(E_F) (states/eV per cell): 6.70

a = 3.7457 Å, b = 3.7457 Å, c = 10.9438 Å
α = 80.15°, β = 80.15°, γ = 90.00°
Each line ends with the local moment (μB).
Sites, in units of the cell vectors:
Ru  0.0000  0.0000  0.0000  0.62
Ru  0.7500  0.2500  0.5000  0.62
As  0.5000  0.5000  0.0000  0.04
As  0.2500  0.7500  0.5000  0.04
Na  0.1269  0.6250  0.2500  0.00
Na  0.3750  0.3769  0.7500  0.00
Na  0.6231  0.1250  0.2500  0.00
Na  0.8750  0.8731  0.7500  0.00



NaAs2RuSe after structural relaxation. Source: the Alexandria database, functional GGA-PBE.

Computed properties:
E_tot (eV for the cell shown): -22.97
E_form (uncorrected) (eV/f.u.): 0.40
Relative energy among the computed polymorphs (eV per atom): 0.0000
Magnetic moment (μB/cell): 0.00
V (Å³/atom): 24.7
Space group: No. 123
D(E_F) (states/eV per cell): 4.00

a = 4.6558 Å, b = 4.6558 Å, c = 5.7061 Å
α = 90.00°, β = 90.00°, γ = 90.00°
Sites, in units of the cell vectors:
As  0.0000  0.5000  0.0000
As  0.5000  0.0000  0.0000
Se  0.0000  0.0000  0.5000
Na  0.5000  0.5000  0.5000
Ru  0.0000  0.0000  0.0000



NaAs2RuSe after structural relaxation. Source: the Alexandria database, functional GGA-PBE.

Computed properties:
E_tot (eV for the cell shown): -15.88
E_form (uncorrected) (eV/f.u.): 7.50
Relative energy among the computed polymorphs (eV per atom): 1.4191
Magnetic moment (μB/cell): 2.17
V (Å³/atom): 23.7
Space group: No. 123
D(E_F) (states/eV per cell): 6.20

a = 4.9108 Å, b = 4.9108 Å, c = 4.9049 Å
α = 90.00°, β = 90.00°, γ = 90.00°
Each line ends with the local moment (μB).
Sites, in units of the cell vectors:
Na  0.0000  0.0000  0.0000  0.01
As  0.5000  0.0000  0.0000  -0.07
As  0.0000  0.5000  0.0000  -0.07
Se  0.0000  0.0000  0.5000  -0.02
Ru  0.5000  0.5000  0.5000  2.26



Na5As2S5 after structural relaxation. Source: the Alexandria database, functional GGA-PBE.

Computed properties:
E_tot (eV for the cell shown): -44.29
E_form (uncorrected) (eV/f.u.): -7.76
Magnetic moment (μB/cell): 0.00
V (Å³/atom): 23.8
Space group: No. 12
D(E_F) (states/eV per cell): 1.53

a = 4.2951 Å, b = 6.5937 Å, c = 11.3875 Å
α = 109.38°, β = 90.00°, γ = 109.01°
Sites, in units of the cell vectors:
S  0.3432  0.6863  0.2189
S  0.6568  0.3137  0.7811
S  0.1050  0.2100  0.3991
S  0.8950  0.7900  0.6009
S  0.0000  0.0000  0.0000
As  0.0505  0.1010  0.7842
As  0.9495  0.8990  0.2158
Na  0.3516  0.7031  0.9630
Na  0.5000  0.0000  0.5000
Na  0.6484  0.2969  0.0370
Na  0.2644  0.5289  0.6467
Na  0.7356  0.4711  0.3533



Na4AsS5 after structural relaxation. Source: the Alexandria database, functional GGA-PBE.

Computed properties:
E_tot (eV for the cell shown): -36.54
E_form (uncorrected) (eV/f.u.): -5.98
Magnetic moment (μB/cell): 0.95
V (Å³/atom): 23.5
Space group: No. 79
D(E_F) (states/eV per cell): 5.15

a = 5.9030 Å, b = 6.9610 Å, c = 6.9610 Å
α = 79.64°, β = 64.91°, γ = 64.91°
Each line ends with the local moment (μB).
Sites, in units of the cell vectors:
S  0.4515  0.0000  0.0000  0.00
S  0.0630  0.6839  0.1763  0.14
S  0.7469  0.1763  0.3161  0.14
S  0.9232  0.3161  0.8237  0.14
S  0.2393  0.8237  0.6839  0.14
Na  0.2133  0.1849  0.3925  0.00
Na  0.7906  0.8151  0.6075  0.00
Na  0.6057  0.6075  0.1849  0.00
Na  0.3982  0.3925  0.8151  0.00
As  0.0785  0.0000  0.0000  -0.01



NaAs6S8 after structural relaxation. Source: the Alexandria database, functional GGA-PBE.

Computed properties:
E_tot (eV for the cell shown): -63.01
E_form (uncorrected) (eV/f.u.): -0.78
Magnetic moment (μB/cell): 0.00
V (Å³/atom): 27.6
Space group: No. 148
D(E_F) (states/eV per cell): 2.53

a = 7.8084 Å, b = 7.8084 Å, c = 7.8084 Å
α = 71.12°, β = 71.12°, γ = 71.12°
Sites, in units of the cell vectors:
S  0.9353  0.2252  0.6233
S  0.3767  0.0647  0.7748
S  0.7748  0.3767  0.0647
S  0.6233  0.9353  0.2252
S  0.3387  0.3387  0.3387
S  0.0647  0.7748  0.3767
S  0.6613  0.6613  0.6613
S  0.2252  0.6233  0.9353
As  0.7947  0.6642  0.3398
As  0.6602  0.2053  0.3358
As  0.3398  0.7947  0.6642
As  0.3358  0.6602  0.2053
As  0.6642  0.3398  0.7947
As  0.2053  0.3358  0.6602
Na  0.0000  0.0000  0.0000



Na5As2S6 after structural relaxation. Source: the Alexandria database, functional GGA-PBE.

Computed properties:
E_tot (eV for the cell shown): -99.96
E_form (uncorrected) (eV/f.u.): -9.32
Magnetic moment (μB/cell): 0.00
V (Å³/atom): 24.4
Space group: No. 55
D(E_F) (states/eV per cell): 6.07

a = 4.5441 Å, b = 11.2992 Å, c = 12.3398 Å
α = 90.00°, β = 90.00°, γ = 90.00°
Sites, in units of the cell vectors:
Na  0.5000  0.0220  0.2319
Na  0.5000  0.0000  0.5000
Na  0.5000  0.4780  0.7319
Na  0.5000  0.9780  0.7681
Na  0.5000  0.5000  0.0000
Na  0.5000  0.7979  0.0262
Na  0.5000  0.7021  0.5262
Na  0.5000  0.5220  0.2681
Na  0.5000  0.2979  0.4738
Na  0.5000  0.2021  0.9738
S  0.0000  0.3890  0.8853
S  0.0000  0.4213  0.3877
S  0.5000  0.7735  0.3035
S  0.5000  0.7265  0.8035
S  0.5000  0.2265  0.6965
S  0.0000  0.0787  0.8877
S  0.0000  0.1110  0.3853
S  0.0000  0.9213  0.1123
S  0.0000  0.8890  0.6147
S  0.0000  0.5787  0.6123
S  0.5000  0.2735  0.1965
S  0.0000  0.6110  0.1147
As  0.0000  0.2693  0.2707
As  0.0000  0.7307  0.7293
As  0.0000  0.7693  0.2293
As  0.0000  0.2307  0.7707



Na3AsS4 after structural relaxation. Source: the Alexandria database, functional GGA-PBE.

Computed properties:
E_tot (eV for the cell shown): -31.11
E_form (uncorrected) (eV/f.u.): -5.99
Magnetic moment (μB/cell): 0.00
V (Å³/atom): 40.9
Space group: No. 215
D(E_F) (states/eV per cell): 0.00

a = 6.8905 Å, b = 6.8905 Å, c = 6.8905 Å
α = 90.00°, β = 90.00°, γ = 90.00°
Sites, in units of the cell vectors:
S  0.1842  0.1842  0.1842
S  0.1842  0.8158  0.8158
S  0.8158  0.1842  0.8158
S  0.8158  0.8158  0.1842
As  0.0000  0.0000  0.0000
Na  0.0000  0.0000  0.5000
Na  0.5000  0.0000  0.0000
Na  0.0000  0.5000  0.0000



Na2AsS after structural relaxation. Source: the Alexandria database, functional GGA-PBE.

Computed properties:
E_tot (eV for the cell shown): -25.12
E_form (uncorrected) (eV/f.u.): -1.15
Relative energy among the computed polymorphs (eV per atom): 0.0000
Magnetic moment (μB/cell): 0.00
V (Å³/atom): 21.9
Space group: No. 122
D(E_F) (states/eV per cell): 5.89

a = 8.0479 Å, b = 8.0479 Å, c = 6.2992 Å
α = 50.30°, β = 50.30°, γ = 90.00°
Sites, in units of the cell vectors:
Na  0.3750  0.4150  0.7500
Na  0.8750  0.8350  0.7500
Na  0.1650  0.6250  0.2500
Na  0.5850  0.1250  0.2500
S  0.2500  0.7500  0.5000
S  0.5000  0.5000  0.0000
As  0.7500  0.2500  0.5000
As  0.0000  0.0000  0.0000